1.
Li4GdPt | PBE | relaxed

a b c (Å): 5.2067 5.2067 5.2067
angles (deg): 60.00 60.00 60.00
Last column: nearest neighbours and their distance in Å.
Fractional positions:
Gd1 0.2500 0.2500 0.2500  12 Li 3.06, 4 Pt 3.19
Pt1 0.0000 0.0000 0.0000  12 Li 3.05, 4 Gd 3.19
Li1 0.6286 0.6286 0.1144  6 Li 2.53-2.68
Li2 0.6286 0.1144 0.6286  6 Li 2.53-2.68
Li3 0.6286 0.6286 0.6286  6 Li 2.53-2.68
Li4 0.1144 0.6286 0.6286  6 Li 2.53-2.68

Calculated values
Calculated total energy (eV/atom): -4.847
ΔH_f (0 K) (eV/atom): -0.217
Density of states at the Fermi level (states/eV/f.u.): 3.2

***

2.
LiGdPuPt | PBE | relaxed

a b c (Å): 4.9998 4.9998 4.9998
angles (deg): 60.00 60.00 60.00
Last column: nearest neighbours and their distance in Å.
Fractional positions:
Gd1 0.0000 0.0000 0.0000  4 Li 3.06, 4 Pt 3.06
Li1 0.2500 0.2500 0.2500  4 Gd 3.06, 4 Pu 3.06
Pt1 0.7500 0.7500 0.7500  4 Gd 3.06, 4 Pu 3.06
Pu1 0.5000 0.5000 0.5000  4 Pt 3.06, 4 Li 3.06

Calculated values
Calculated total energy (eV/atom): -9.536
ΔH_f (0 K) (eV/atom): -0.444
Density of states at the Fermi level (states/eV/f.u.): 5.7

***

3.
LiGdSbPt | PBE | relaxed

a b c (Å): 4.8454 4.8454 4.8454
angles (deg): 60.00 60.00 60.00
Last column: nearest neighbours and their distance in Å.
Fractional positions:
Sb1 0.5000 0.5000 0.5000  4 Li 2.97, 4 Pt 2.97
Gd1 0.0000 0.0000 0.0000  4 Li 2.97, 4 Pt 2.97
Pt1 0.7500 0.7500 0.7500  4 Sb 2.97, 4 Gd 2.97
Li1 0.2500 0.2500 0.2500  4 Gd 2.97, 4 Sb 2.97

Calculated values
ΔE_f (raw) (eV/atom): -0.77
Calculated total energy (eV/atom): -7.314
Density of states at the Fermi level (states/eV/f.u.): 3.2